Below is a relaxed structure of CuHgRu2, with properties calculated at the GGA-PBE level.

Structure (POSCAR):
```
CuHgRu2
1.0
-0.8518 -2.8420 2.3798
-0.9827 -2.1813 -2.9567
8.0118 -5.7018 -0.9026
Cu Hg Ru
2 2 4
direct
0.2500 0.7500 0.5000 Cu
0.5000 0.5000 0.0000 Cu
0.0000 0.0000 0.0000 Hg
0.7500 0.2500 0.5000 Hg
0.3750 0.4453 0.7500 Ru
0.8750 0.8047 0.7500 Ru
0.5547 0.1250 0.2500 Ru
0.1953 0.6250 0.2500 Ru
```

Computed properties:
VASP energy = -4.988 eV per atom
Space group = I-42d (122)
Energy relative to the elements = 0.75 eV per atom